Sr2Pu2N5 | GGA-PBE | optimized geometry

The structure in CIF format:
```
data_Sr2Pu2N5
_space_group_name_H-M_alt 'P 1'
_space_group_IT_number 1
_cell_length_a 5.9089
_cell_length_b 5.8904
_cell_length_c 9.6212
_cell_angle_alpha 107.83
_cell_angle_beta 107.88
_cell_angle_gamma 90.00
loop_
_space_group_symop_operation_xyz
'x,y,z'
loop_
_atom_site_label
_atom_site_fract_x
_atom_site_fract_y
_atom_site_fract_z
_atom_site_occupancy
Pu1 0.0000 0.9933 0.0000 1
Pu2 0.5000 0.4933 0.0000 1
Pu3 0.2165 0.2594 0.5000 1
Pu4 0.7835 0.7594 0.5000 1
N1 0.7497 0.7453 0.0018 1
N2 0.3634 0.3618 0.7273 1
N3 0.7521 0.2453 0.0018 1
N4 0.1361 0.1346 0.2727 1
N5 0.6366 0.6346 0.2727 1
N6 0.2503 0.7435 0.9982 1
N7 0.2479 0.2435 0.9982 1
N8 0.1275 0.6210 0.5000 1
N9 0.8639 0.8618 0.7273 1
N10 0.8725 0.1210 0.5000 1
Sr1 0.3836 0.8767 0.7762 1
Sr2 0.1074 0.6005 0.2238 1
Sr3 0.8926 0.3767 0.7762 1
Sr4 0.6164 0.1005 0.2238 1
```

Summary:
formation energy from raw total energies	-0.91	eV per atom
DFT total energy	-163.8	eV for the cell shown
symmetry	Ima2 (46)

Sr2PuN3 | GGA-PBE | optimized geometry

The structure in CIF format:
```
data_Sr2PuN3
_space_group_name_H-M_alt 'P 1'
_space_group_IT_number 1
_cell_length_a 6.1255
_cell_length_b 6.1255
_cell_length_c 7.0732
_cell_angle_alpha 64.34
_cell_angle_beta 64.34
_cell_angle_gamma 60.00
loop_
_space_group_symop_operation_xyz
'x,y,z'
loop_
_atom_site_label
_atom_site_fract_x
_atom_site_fract_y
_atom_site_fract_z
_atom_site_occupancy
N1 0.8414 0.6586 0.2500 1
N2 0.2500 0.8414 0.2500 1
N3 0.1586 0.3414 0.7500 1
N4 0.6586 0.2500 0.2500 1
N5 0.7500 0.1586 0.7500 1
N6 0.3414 0.7500 0.7500 1
Sr1 0.6735 0.6735 0.9794 1
Sr2 0.1735 0.1735 0.4794 1
Sr3 0.8265 0.8265 0.5206 1
Sr4 0.3265 0.3265 0.0206 1
Pu1 0.0000 0.0000 0.0000 1
Pu2 0.5000 0.5000 0.5000 1
```

Summary:
formation energy from raw total energies	-0.60	eV per atom
DFT total energy	-92.6	eV for the cell shown
energy relative to the lowest polymorph listed for this composition	161.8	kJ/mol of formula units
symmetry	R-3c (167)